A plane-wave DFT calculation with GGA-PBE was carried out for a geometry-optimized PbWCl2 structure.

Calculated values
Formation energy (no corrections): 0.852 eV/atom
V: 21.652 Å³ per atom
Space-group type: Pmmm, No. 47

abc: 3.0698 4.3122 6.5427
angles: 90.00 90.00 90.00
Positions (direct):
Pb: 0.0000 0.0000 0.0000
W: 0.0000 0.0000 0.5000
Cl: 0.5000 0.5000 0.2811
Cl: 0.5000 0.5000 0.7189

---

A plane-wave DFT calculation with GGA-PBE was carried out for a geometry-optimized PbWCl2 structure.

Calculated values
Formation energy (no corrections): 0.314 eV/atom
V: 22.223 Å³ per atom
Space-group type: Pmm2, No. 25

abc: 3.0197 3.9434 7.4650
angles: 90.00 90.00 90.00
Positions (direct):
Pb: 0.0000 0.0000 0.0000
W: 0.5000 0.5000 0.3142
Cl: 0.0000 0.0000 0.4090
Cl: 0.5000 0.5000 0.6367

---

A plane-wave DFT calculation with GGA-PBE was carried out for a geometry-optimized PbWCl2 structure.

Calculated values
Formation energy (no corrections): 0.935 eV/atom
V: 22.725 Å³ per atom
Space-group type: F-43m, No. 216

abc: 5.0470 5.0470 5.0470
angles: 60.00 60.00 60.00
Positions (direct):
Pb: 0.0000 0.0000 0.0000
W: 0.7500 0.7500 0.7500
Cl: 0.2500 0.2500 0.2500
Cl: 0.5000 0.5000 0.5000